DFT (PBE) results for a relaxed ZnAgBr2 crystal.

## Properties
Uncorrected formation energy in eV/atom: -0.19
Calculated volume in Å³/f.u.: 123.98

Cell lengths 4.121, 4.121, 9.023 Å; angles 90.00, 90.00, 125.98 degrees
Sites, in units of the cell vectors:
Zn  0.000  0.000  0.517
Br  0.000  0.000  0.925
Br  0.500  0.500  0.334
Ag  0.500  0.500  0.724